Entry 1:
Compound: NaAlSn
Source: Alexandria
Functional: PBE
Structure: optimized geometry

a b c (Å): 5.926 5.926 5.926
angles (deg): 124.72 113.66 91.67
Atoms (fractional coordinates):
1 Na 0.373 0.123 0.250
2 Na 0.627 0.877 0.750
3 Al 0.000 0.000 0.500
4 Al 0.000 0.500 0.000
5 Sn 0.000 0.500 0.500
6 Sn 0.500 0.500 0.000

Output
calculated formation energy: -38 meV/atom
total magnetization: 0.0 Bohr magnetons per cell
crystal system: orthorhombic

=====

Entry 2:
Compound: Zr2MnCo
Source: Alexandria
Functional: PBE
Structure: optimized geometry

a b c (Å): 3.194 3.194 6.323
angles (deg): 90.00 90.00 90.00
Atoms (fractional coordinates):
1 Zr 0.000 0.000 0.247
2 Zr 0.000 0.000 0.753
3 Mn 0.500 0.500 0.000
4 Co 0.500 0.500 0.500

Output
calculated formation energy: -202 meV/atom
total magnetization: 0.0 Bohr magnetons per cell
crystal system: tetragonal